Record 1
First-principles (PBE) data for TlCuRe2 after structural relaxation, as listed in Alexandria.

Cell lengths 3.793, 3.793, 9.055 Å; angles 90.00, 90.00, 90.00 degrees
Fractional coordinates of all 8 atoms:
Tl  0.000  0.000  0.000
Tl  0.500  0.500  0.500
Cu  0.000  0.000  0.500
Cu  0.500  0.500  0.000
Re  0.000  0.500  0.250
Re  0.000  0.500  0.750
Re  0.500  0.000  0.250
Re  0.500  0.000  0.750

density = 16.328 g/cm³
formation enthalpy at 0 K = 88.3 kJ per mole of atoms
space group = I4/mmm, No. 139
energy above the lowest structure with this stoichiometry = 0.460 eV/atom
total magnetization = 0.000 μB/f.u.

---

Record 2
First-principles (PBE) data for KLiPS3 after structural relaxation, as listed in Alexandria.

Cell lengths 7.106, 7.106, 7.282 Å; angles 94.05, 94.05, 60.18 degrees
Fractional coordinates of all 12 atoms:
K  0.166  0.166  0.165
K  0.834  0.834  0.835
Li  0.306  0.694  0.500
Li  0.694  0.306  0.500
P  0.481  0.481  0.152
P  0.519  0.519  0.848
S  0.157  0.639  0.196
S  0.361  0.843  0.804
S  0.376  0.376  0.685
S  0.624  0.624  0.315
S  0.639  0.157  0.196
S  0.843  0.361  0.804

density = 1.809 g/cm³
space group = C2/m, No. 12
total magnetization = 0.000 μB/f.u.
raw total energy = -4.3463 eV per atom

---

total magnetization of number 2 (KLiPS3)?
0.000 μB/f.u.